## CuPPbCl2 (PBE)

Data for crystalline CuPPbCl2 at its relaxed geometry.

abc: 5.391 5.391 5.557
angles: 90.00 90.00 90.00
Last column: magnetic moment on the atom in μB.
Element x y z (fractional)
Pb  0.000  0.000  0.000  0.01
P  0.000  0.000  0.500  0.57
Cu  0.500  0.500  0.500  -0.01
Cl  0.000  0.500  0.000  0.02
Cl  0.500  0.000  0.000  0.02

Computed properties:
Crystal system   tetragonal
Total DFT energy (no corrections)   -2.8823 eV/atom